VASP calculation (PBE-GGA) on an optimized crystal structure of ErNbAl.

The relative energy among the computed polymorphs is 292 meV per atom. The value obtained for the calculated total energy is -5.99 eV per atom. The calculation puts the formation energy at 0.135 eV per atom.

It has space group P3m1 (No. 156), with a = 4.8652 Å, b = 4.8652 Å, c = 2.9511 Å, α = 90.00°, β = 90.00° and γ = 120.00°. The asymmetric unit holds Er at (0.0000, 0.0000, 0.0000), Nb at (0.3333, 0.6667, 0.0023) and Al at (0.6667, 0.3333, 0.4994).

VASP calculation (PBE-GGA) on an optimized crystal structure of Er2NbAl2Ni5.

The value obtained for the calculated total energy is -5.94 eV per atom. The calculation puts the formation energy at -0.380 eV per atom.

It has space group P4/mbm (No. 127), with a = 9.666 Å, b = 9.666 Å, c = 3.355 Å, α = 90.00°, β = 90.00° and γ = 90.00°. The asymmetric unit holds Er at (0.175, 0.325, 0.000), Nb at (0.000, 0.000, 0.000), Al at (0.122, 0.622, 0.000), Ni at (0.000, 0.500, 0.500) and Ni at (0.052, 0.801, 0.500).